# 1
A relaxed structure of UCuHg, computed with GGA-PBE.

formation energy: 0.486 eV per atom
E above lowest polymorph: 0.00 kcal/mol of atoms
theoretical density: 12.16 Mg/m³

Cell lengths 4.5948, 4.5948, 4.5948 Å; angles 60.00, 60.00, 60.00 degrees
Each line ends with the local moment (μB).
Fractional coordinates of all 3 atoms:
U 0.7500 0.7500 0.7500  1.33
Cu 0.0000 0.0000 0.0000  -0.04
Hg 0.2500 0.2500 0.2500  -0.04

***

# 2
A relaxed structure of ScIn2Mo, computed with GGA-PBE.

electronic total energy: -21.44 eV/cell
theoretical density: 7.66 Mg/m³

Cell lengths 4.8441, 4.8441, 4.8441 Å; angles 60.00, 60.00, 60.00 degrees
Fractional coordinates of all 4 atoms:
Sc 0.2500 0.2500 0.2500
In 0.5000 0.5000 0.5000
In 0.7500 0.7500 0.7500
Mo 0.0000 0.0000 0.0000

***

# 3
A relaxed structure of SiNi2Pd, computed with GGA-PBE.

electronic total energy: -23.02 eV/cell
theoretical density: 8.64 Mg/m³

Cell lengths 4.0911, 4.0911, 4.0911 Å; angles 60.00, 60.00, 60.00 degrees
Fractional coordinates of all 4 atoms:
Si 0.5000 0.5000 0.5000
Pd 0.2500 0.2500 0.2500
Ni 0.7500 0.7500 0.7500
Ni 0.0000 0.0000 0.0000

***

# 4
A relaxed structure of BeAgIrW, computed with GGA-PBE.

E above lowest polymorph: 0.00 kcal/mol of atoms
theoretical density: 14.22 Mg/m³

Cell lengths 4.3337, 4.3337, 4.3337 Å; angles 60.00, 60.00, 60.00 degrees
Fractional coordinates of all 4 atoms:
Ir 0.2500 0.2500 0.2500
Be 0.7500 0.7500 0.7500
Ag 0.0000 0.0000 0.0000
W 0.5000 0.5000 0.5000

***

# 5
A relaxed structure of Be2GaPt2, computed with GGA-PBE.

E above lowest polymorph: 0.32 kcal/mol of atoms
theoretical density: 12.63 Mg/m³

Cell lengths 6.7911, 6.7911, 2.7257 Å; angles 90.00, 90.00, 90.00 degrees
Fractional coordinates of all 10 atoms:
Be 0.6220 0.1220 0.0000
Be 0.8780 0.6220 0.0000
Be 0.1220 0.3780 0.0000
Be 0.3780 0.8780 0.0000
Pt 0.1692 0.6692 0.5000
Pt 0.3308 0.1692 0.5000
Pt 0.6692 0.8308 0.5000
Pt 0.8308 0.3308 0.5000
Ga 0.5000 0.5000 0.0000
Ga 0.0000 0.0000 0.0000

***

# 6
A relaxed structure of LuSc2In3Pt2, computed with GGA-PBE.

electronic total energy: -44.36 eV/cell
theoretical density: 9.82 Mg/m³

Cell lengths 3.4177, 7.5561, 7.5561 Å; angles 119.94, 90.00, 90.00 degrees
Fractional coordinates of all 8 atoms:
In 0.5000 0.7704 0.7704
In 0.5000 0.2331 0.9963
In 0.5000 0.9963 0.2331
Pt 0.5000 0.6705 0.3319
Pt 0.5000 0.3319 0.6705
Sc 0.0000 0.5774 0.9997
Sc 0.0000 0.9997 0.5774
Lu 0.0000 0.4208 0.4208

***

# 7
A relaxed structure of Ta3Co10, computed with GGA-PBE.

formation energy: 0.055 eV per atom
E above lowest polymorph: 0.12 kcal/mol of atoms
theoretical density: 11.45 Mg/m³

Cell lengths 8.7978, 8.7978, 8.7978 Å; angles 31.41, 31.41, 31.41 degrees
Each line ends with the local moment (μB).
Fractional coordinates of all 13 atoms:
Co 0.8360 0.8360 0.8360  1.79
Co 0.5444 0.5444 0.5444  1.47
Co 0.9140 0.4248 0.9140  1.27
Co 0.0860 0.0860 0.5752  1.13
Co 0.4248 0.9140 0.9140  1.08
Co 0.9140 0.9140 0.4248  1.13
Co 0.4556 0.4556 0.4556  1.47
Co 0.5752 0.0860 0.0860  1.08
Co 0.0860 0.5752 0.0860  1.27
Co 0.1640 0.1640 0.1640  1.79
Ta 0.3564 0.3564 0.3564  -0.10
Ta 0.0000 0.0000 0.0000  -0.09
Ta 0.6436 0.6436 0.6436  -0.10

***

# 8
A relaxed structure of Nd2Sm2C2Br4Cl, computed with GGA-PBE.

E above lowest polymorph: 0.53 kcal/mol of atoms
theoretical density: 5.50 Mg/m³

Cell lengths 9.8916, 9.8916, 8.0454 Å; angles 104.04, 104.04, 22.53 degrees
Fractional coordinates of all 11 atoms:
Br 0.1590 0.1590 0.8760
Br 0.8331 0.8331 0.6784
Br 0.1669 0.1669 0.3216
Br 0.8410 0.8410 0.1240
Nd 0.6573 0.6573 0.5994
Nd 0.3427 0.3427 0.4006
Sm 0.0004 0.0004 0.7063
Sm 0.9996 0.9996 0.2937
C 0.4626 0.4626 0.4779
C 0.5374 0.5374 0.5221
Cl 0.5000 0.5000 0.0000

***

# 9
A relaxed structure of SiMo4AsN2, computed with GGA-PBE.

electronic total energy: -70.60 eV/cell
theoretical density: 8.38 Mg/m³

Cell lengths 3.0016, 3.0016, 13.0797 Å; angles 90.00, 90.00, 120.00 degrees
Fractional coordinates of all 8 atoms:
N 0.3333 0.6667 0.7481
N 0.3333 0.6667 0.2519
Mo 0.6667 0.3333 0.8476
Mo 0.0000 0.0000 0.3527
Mo 0.6667 0.3333 0.1524
Mo 0.0000 0.0000 0.6473
As 0.0000 0.0000 0.0000
Si 0.6667 0.3333 0.5000

***

# 10
A relaxed structure of InPdAu, computed with GGA-PBE.

E above lowest polymorph: 0.00 kcal/mol of atoms
theoretical density: 10.91 Mg/m³

Cell lengths 4.4813, 4.4813, 4.4813 Å; angles 60.00, 60.00, 60.00 degrees
Fractional coordinates of all 3 atoms:
Pd 0.0000 0.0000 0.0000
Au 0.2500 0.2500 0.2500
In 0.7500 0.7500 0.7500

***

# 11
A relaxed structure of PaInNi, computed with GGA-PBE.

electronic total energy: -18.51 eV/cell
theoretical density: 10.07 Mg/m³

Cell lengths 4.5523, 4.5523, 4.5523 Å; angles 60.00, 60.00, 60.00 degrees
Fractional coordinates of all 3 atoms:
In 0.0000 0.0000 0.0000
Pa 0.5000 0.5000 0.5000
Ni 0.2500 0.2500 0.2500

***

# 12
A relaxed structure of AlPOsO, computed with GGA-PBE.

E above lowest polymorph: 12.39 kcal/mol of atoms
theoretical density: 8.12 Mg/m³

Cell lengths 3.4630, 5.6902, 5.4861 Å; angles 90.00, 90.00, 90.00 degrees
Fractional coordinates of all 8 atoms:
Os 0.5000 0.5277 0.5785
Os 0.5000 0.4723 0.0785
O 0.5000 0.7926 0.8495
O 0.5000 0.2074 0.3495
Al 0.0000 0.1379 0.4472
Al 0.0000 0.8621 0.9472
P 0.0000 0.2831 0.8788
P 0.0000 0.7169 0.3788

***

Repeat the tenth record exactly.
A relaxed structure of InPdAu, computed with GGA-PBE.

E above lowest polymorph: 0.00 kcal/mol of atoms
theoretical density: 10.91 Mg/m³

Cell lengths 4.4813, 4.4813, 4.4813 Å; angles 60.00, 60.00, 60.00 degrees
Fractional coordinates of all 3 atoms:
Pd 0.0000 0.0000 0.0000
Au 0.2500 0.2500 0.2500
In 0.7500 0.7500 0.7500